4
Lattice="2.790 0.000 0.000 0.000 2.790 0.000 0.000 0.000 7.286" Properties=species:S:1:pos:R:3 comment="meta-GGA SCAN Cu2ReHg, PBEsol geometry" m_tot_mub_per_fu=0.00 formation_energy_mev_per_atom=481 spacegroup="P4mm (99)" pbc="T T T"
Cu 0.000 0.000 0.000
Cu 1.395 1.395 1.480
Re 1.395 1.395 5.627
Hg 0.000 0.000 3.419